Here is crystalline CdBi2Au at its relaxed geometry from Alexandria via LeMat-Bulk. Energies are from GGA-PBE.

Results
Final energy (eV per atom): -2.90
SG: I-42d
Crystal system: tetragonal
V (Å³/cell): 230
ΔH_f (0 K) (eV per formula unit): 0.4

a = 4.6516 Å, b = 4.6516 Å, c = 11.1214 Å
α = 77.93°, β = 77.93°, γ = 90.00°
Closest atoms and distances in Å follow each position.
Atoms (fractional coordinates):
Bi  0.3750  0.3451  0.7500  2 Au 3.07, 2 Bi 3.10, 2 Cd 3.18
Bi  0.8750  0.9049  0.7500  2 Au 3.07, 2 Bi 3.10, 2 Cd 3.18
Bi  0.0951  0.6250  0.2500  2 Au 3.07, 2 Bi 3.10, 2 Cd 3.18
Bi  0.6549  0.1250  0.2500  2 Au 3.07, 2 Bi 3.10, 2 Cd 3.18
Au  0.0000  0.0000  0.0000  4 Bi 3.07, 4 Cd 3.29
Au  0.7500  0.2500  0.5000  4 Bi 3.07, 4 Cd 3.29
Cd  0.5000  0.5000  0.0000  4 Bi 3.18, 4 Au 3.29
Cd  0.2500  0.7500  0.5000  4 Bi 3.18, 4 Au 3.29